No. 1
Computed, not measured: an optimized crystal structure of Nd3Ga2Rh3 at the PBE-GGA level of DFT.

Values from the calculation:
Formation enthalpy at 0 K ... -756.5 meV per atom
VASP energy ... -6.06 eV/atom
E above lowest polymorph ... 4 meV/atom
Magnetic moment ... 0.0 μB per formula unit

The structure in CIF format:
```
data_Nd3Ga2Rh3
_cell_length_a 6.2951
_cell_length_b 6.2951
_cell_length_c 14.2219
_cell_angle_alpha 90.00
_cell_angle_beta 90.00
_cell_angle_gamma 142.08
_symmetry_space_group_name_H-M 'P 1'
_symmetry_Int_Tables_number 1
loop_
_symmetry_equiv_pos_as_xyz
'x,y,z'
loop_
_atom_site_label
_atom_site_type_symbol
_atom_site_fract_x
_atom_site_fract_y
_atom_site_fract_z
_atom_site_occupancy
Nd1 Nd 0.0770 0.9230 0.6112 1
Nd2 Nd 0.0770 0.9230 0.8888 1
Nd3 Nd 0.3464 0.6536 0.7500 1
Nd4 Nd 0.6536 0.3464 0.2500 1
Nd5 Nd 0.9230 0.0770 0.1112 1
Nd6 Nd 0.9230 0.0770 0.3888 1
Ga1 Ga 0.2240 0.7760 0.0818 1
Ga2 Ga 0.2240 0.7760 0.4182 1
Ga3 Ga 0.7760 0.2240 0.5818 1
Ga4 Ga 0.7760 0.2240 0.9182 1
Rh1 Rh 0.3272 0.6728 0.2500 1
Rh2 Rh 0.3947 0.6053 0.5433 1
Rh3 Rh 0.3947 0.6053 0.9567 1
Rh4 Rh 0.6053 0.3947 0.0433 1
Rh5 Rh 0.6053 0.3947 0.4567 1
Rh6 Rh 0.6728 0.3272 0.7500 1
```

***

No. 2
Computed, not measured: an optimized crystal structure of La5TeP4 at the PBE-GGA level of DFT.

Values from the calculation:
VASP energy ... -6.54 eV/atom
Formation energy (no corrections) ... -16.00 eV per formula unit
Magnetic moment ... 0.0 μB per formula unit

The structure in CIF format:
```
data_La5TeP4
_cell_length_a 11.5131
_cell_length_b 11.5131
_cell_length_c 11.5131
_cell_angle_alpha 158.44
_cell_angle_beta 148.98
_cell_angle_gamma 38.09
_symmetry_space_group_name_H-M 'P 1'
_symmetry_Int_Tables_number 1
loop_
_symmetry_equiv_pos_as_xyz
'x,y,z'
loop_
_atom_site_label
_atom_site_type_symbol
_atom_site_fract_x
_atom_site_fract_y
_atom_site_fract_z
_atom_site_occupancy
La1 La 0.0000 0.0000 0.0000 1
La2 La 0.1988 0.1988 0.0000 1
La3 La 0.3880 0.3880 0.0000 1
La4 La 0.6120 0.6120 0.0000 1
La5 La 0.8012 0.8012 0.0000 1
Te1 Te 0.5000 0.0000 0.5000 1
P1 P 0.0996 0.5996 0.5000 1
P2 P 0.2970 0.7970 0.5000 1
P3 P 0.7030 0.2030 0.5000 1
P4 P 0.9004 0.4004 0.5000 1
```

***

No. 3
Computed, not measured: an optimized crystal structure of Li2AsAu at the PBE-GGA level of DFT.

Values from the calculation:
Formation enthalpy at 0 K ... -398.0 meV per atom
VASP energy ... -3.34 eV/atom
Magnetic moment ... 0.0 μB per formula unit

The structure in CIF format:
```
data_Li2AsAu
_cell_length_a 4.4408
_cell_length_b 4.4408
_cell_length_c 5.4693
_cell_angle_alpha 98.94
_cell_angle_beta 98.94
_cell_angle_gamma 37.96
_symmetry_space_group_name_H-M 'P 1'
_symmetry_Int_Tables_number 1
loop_
_symmetry_equiv_pos_as_xyz
'x,y,z'
loop_
_atom_site_label
_atom_site_type_symbol
_atom_site_fract_x
_atom_site_fract_y
_atom_site_fract_z
_atom_site_occupancy
Li1 Li 0.2447 0.2447 0.2251 1
Li2 Li 0.7553 0.7553 0.7749 1
As1 As 0.5000 0.5000 0.0000 1
Au1 Au 0.0000 0.0000 0.5000 1
```

***

No. 4
Computed, not measured: an optimized crystal structure of BaBi2Pb3 at the PBE-GGA level of DFT.

Values from the calculation:
Formation enthalpy at 0 K ... -275.3 meV per atom
VASP energy ... -3.74 eV/atom
E above lowest polymorph ... 0 meV/atom
Magnetic moment ... 0.0 μB per formula unit

The structure in CIF format:
```
data_BaBi2Pb3
_cell_length_a 9.4988
_cell_length_b 9.4988
_cell_length_c 10.6261
_cell_angle_alpha 113.43
_cell_angle_beta 113.43
_cell_angle_gamma 30.59
_symmetry_space_group_name_H-M 'P 1'
_symmetry_Int_Tables_number 1
loop_
_symmetry_equiv_pos_as_xyz
'x,y,z'
loop_
_atom_site_label
_atom_site_type_symbol
_atom_site_fract_x
_atom_site_fract_y
_atom_site_fract_z
_atom_site_occupancy
Ba1 Ba 0.1387 0.1387 0.0564 1
Ba2 Ba 0.8613 0.8613 0.9436 1
Bi1 Bi 0.2102 0.2102 0.7872 1
Bi2 Bi 0.4905 0.4905 0.8383 1
Bi3 Bi 0.5095 0.5095 0.1617 1
Bi4 Bi 0.7898 0.7898 0.2128 1
Pb1 Pb 0.0663 0.0663 0.3962 1
Pb2 Pb 0.3031 0.3031 0.5947 1
Pb3 Pb 0.4047 0.4047 0.3442 1
Pb4 Pb 0.5953 0.5953 0.6558 1
Pb5 Pb 0.6969 0.6969 0.4053 1
Pb6 Pb 0.9337 0.9337 0.6038 1
```

***

No. 5
Computed, not measured: an optimized crystal structure of Li2ThBeO4 at the PBE-GGA level of DFT.

Values from the calculation:
VASP energy ... -6.97 eV/atom
Formation energy (no corrections) ... -20.93 eV per formula unit
Magnetic moment ... 0.0 μB per formula unit

The structure in CIF format:
```
data_Li2ThBeO4
_cell_length_a 4.9351
_cell_length_b 4.9351
_cell_length_c 4.9351
_cell_angle_alpha 117.97
_cell_angle_beta 117.97
_cell_angle_gamma 93.55
_symmetry_space_group_name_H-M 'P 1'
_symmetry_Int_Tables_number 1
loop_
_symmetry_equiv_pos_as_xyz
'x,y,z'
loop_
_atom_site_label
_atom_site_type_symbol
_atom_site_fract_x
_atom_site_fract_y
_atom_site_fract_z
_atom_site_occupancy
Li1 Li 0.0000 0.0000 0.0000 1
Li2 Li 0.7500 0.2500 0.5000 1
Th1 Th 0.5000 0.5000 0.0000 1
Be1 Be 0.2500 0.7500 0.5000 1
O1 O 0.0972 0.6455 0.0591 1
O2 O 0.3545 0.4137 0.4518 1
O3 O 0.5863 0.0381 0.9409 1
O4 O 0.9619 0.9028 0.5482 1
```

***

No. 6
Computed, not measured: an optimized crystal structure of MgAl4Ga at the PBE-GGA level of DFT.

Values from the calculation:
Formation enthalpy at 0 K ... -16.3 meV per atom
VASP energy ... -3.28 eV/atom
E above lowest polymorph ... 0 meV/atom
Magnetic moment ... 0.0 μB per formula unit

The structure in CIF format:
```
data_MgAl4Ga
_cell_length_a 6.5953
_cell_length_b 6.5953
_cell_length_c 4.1300
_cell_angle_alpha 90.00
_cell_angle_beta 90.00
_cell_angle_gamma 144.29
_symmetry_space_group_name_H-M 'P 1'
_symmetry_Int_Tables_number 1
loop_
_symmetry_equiv_pos_as_xyz
'x,y,z'
loop_
_atom_site_label
_atom_site_type_symbol
_atom_site_fract_x
_atom_site_fract_y
_atom_site_fract_z
_atom_site_occupancy
Mg1 Mg 0.0000 0.0000 0.0000 1
Al1 Al 0.1702 0.8298 0.5000 1
Al2 Al 0.3289 0.6711 0.0000 1
Al3 Al 0.6711 0.3289 0.0000 1
Al4 Al 0.8298 0.1702 0.5000 1
Ga1 Ga 0.5000 0.5000 0.5000 1
```